K2Ge3Au9 | PBE-GGA | optimized geometry Values from VASP.

Output
The value obtained for the total magnetization is 0.0 μB per formula unit. Its total energy is -93.62 eV for the cell shown. As for the formation energy: -90 meV/atom.

Structure (Quantum ESPRESSO input):
```
&SYSTEM
  ibrav = 0, nat = 28, ntyp = 3
/
ATOMIC_SPECIES
K 39.10 K.upf
Ge 72.64 Ge.upf
Au 196.97 Au.upf
CELL_PARAMETERS angstrom
-7.834 -1.721 -1.497
5.540 -0.593 -5.961
4.962 -8.422 5.527
ATOMIC_POSITIONS crystal
K 0.340 0.251 0.751
K 0.660 0.749 0.249
K 0.000 0.589 0.749
K 0.000 0.411 0.251
Ge 0.500 0.000 0.000
Ge 0.500 0.500 0.500
Ge 0.854 0.177 0.504
Ge 0.146 0.823 0.496
Ge 0.173 0.350 0.996
Ge 0.827 0.650 0.004
Au 0.455 0.917 0.739
Au 0.545 0.083 0.261
Au 0.677 0.716 0.761
Au 0.323 0.284 0.239
Au 0.462 0.654 0.939
Au 0.538 0.346 0.061
Au 0.215 0.523 0.561
Au 0.785 0.477 0.439
Au 0.882 0.132 0.750
Au 0.118 0.868 0.250
Au 0.125 0.987 0.940
Au 0.875 0.013 0.060
Au 0.547 0.186 0.560
Au 0.453 0.814 0.440
Au 0.861 0.855 0.559
Au 0.139 0.145 0.441
Au 0.796 0.302 0.941
Au 0.204 0.698 0.059
```